(1)
An optimized crystal structure of Tc2AsSe. Source: the Alexandria database, functional PBE.

As for the formation energy (no corrections): 0.2 eV per formula unit. The calculation puts the total energy at -7.167 eV/atom. For the magnetic moment, the calculation gives 0.0 μB per formula unit. For the energy relative to the lowest polymorph listed for this composition, the calculation gives 0.59 eV/f.u. The symmetry is P4/mmm. The calculation puts the density of states at the Fermi level at 1.024 states/eV/atom.

abc: 3.093 3.093 6.208
angles: 90.00 90.00 90.00
Positions (direct):
Tc 0.000 0.000 0.242
Tc 0.000 0.000 0.758
As 0.500 0.500 0.000
Se 0.500 0.500 0.500

(2)
An optimized crystal structure of Pm2YTm8. Source: the Alexandria database, functional PBE.

The calculation puts the formation energy at 15.36 kJ per mole of atoms. The calculation puts the total energy at -4.544 eV/atom. For the magnetic moment, the calculation gives 0.0 μB per formula unit. For the energy relative to the lowest polymorph listed for this composition, the calculation gives 0.00 eV/f.u. The symmetry is C2/m. The calculation puts the density of states at the Fermi level at 1.355 states/eV/atom.

abc: 9.187 9.187 5.843
angles: 105.99 105.99 121.12
Positions (direct):
Pm 0.193 0.807 0.000
Pm 0.807 0.193 0.000
Y 0.500 0.500 0.500
Tm 0.064 0.064 0.294
Tm 0.167 0.403 0.821
Tm 0.293 0.707 0.500
Tm 0.403 0.167 0.821
Tm 0.597 0.833 0.179
Tm 0.707 0.293 0.500
Tm 0.833 0.597 0.179
Tm 0.936 0.936 0.706

(3)
An optimized crystal structure of LiCuAg2. Source: the Alexandria database, functional PBE.

The calculation puts the formation energy at -6.06 kJ per mole of atoms. The calculation puts the total energy at -2.991 eV/atom. For the magnetic moment, the calculation gives 0.0 μB per formula unit. The symmetry is Cmmm. The calculation puts the density of states at the Fermi level at 0.245 states/eV/atom.

abc: 4.731 4.731 2.835
angles: 90.00 90.00 103.54
Positions (direct):
Li 0.000 0.000 0.000
Cu 0.500 0.500 0.000
Ag 0.000 0.500 0.500
Ag 0.500 0.000 0.500

(4)
An optimized crystal structure of Sm2MgCd3. Source: the Alexandria database, functional PBE.

The calculation puts the formation energy at -28.08 kJ per mole of atoms. The calculation puts the total energy at -2.587 eV/atom. For the magnetic moment, the calculation gives 0.0 μB per formula unit. The symmetry is Fmmm. The calculation puts the density of states at the Fermi level at 0.603 states/eV/atom.

abc: 10.200 9.454 6.120
angles: 78.63 65.33 36.03
Positions (direct):
Sm 0.247 0.753 0.753
Sm 0.250 0.250 0.250
Sm 0.750 0.750 0.750
Sm 0.753 0.247 0.247
Mg 0.333 0.333 0.667
Mg 0.667 0.667 0.333
Cd 0.167 0.167 0.833
Cd 0.168 0.664 0.336
Cd 0.336 0.832 0.168
Cd 0.664 0.168 0.832
Cd 0.832 0.336 0.664
Cd 0.833 0.833 0.167

(5)
An optimized crystal structure of CoPN3. Source: the Alexandria database, functional PBE.

As for the formation energy (no corrections): 8.9 eV per formula unit. The calculation puts the total energy at -5.718 eV/atom. For the magnetic moment, the calculation gives 0.0 μB per formula unit. The symmetry is Pm-3m. The calculation puts the density of states at the Fermi level at 0.846 states/eV/atom.

abc: 3.646 3.646 3.646
angles: 90.00 90.00 90.00
Positions (direct):
Co 0.000 0.000 0.000
P 0.500 0.500 0.500
N 0.000 0.000 0.500
N 0.000 0.500 0.000
N 0.500 0.000 0.000

(6)
An optimized crystal structure of Ca2TeBr. Source: the Alexandria database, functional PBE.

As for the formation energy (no corrections): -2.6 eV per formula unit. The calculation puts the total energy at -2.858 eV/atom. For the magnetic moment, the calculation gives 0.9 μB per formula unit. For the energy relative to the lowest polymorph listed for this composition, the calculation gives 3.17 eV/f.u. The symmetry is F-43m. The calculation puts the density of states at the Fermi level at 0.598 states/eV/atom.

abc: 5.610 5.610 5.610
angles: 60.00 60.00 60.00
Positions (direct):
Ca 0.000 0.000 0.000
Ca 0.250 0.250 0.250
Te 0.500 0.500 0.500
Br 0.750 0.750 0.750

(7)
An optimized crystal structure of Rb2Ta2Si. Source: the Alexandria database, functional PBE.

As for the formation energy (no corrections): 7.9 eV per formula unit. The calculation puts the total energy at -4.636 eV/atom. For the magnetic moment, the calculation gives 0.0 μB per formula unit. For the energy relative to the lowest polymorph listed for this composition, the calculation gives 3.12 eV/f.u. The symmetry is I4/mmm. The calculation puts the density of states at the Fermi level at 0.192 states/eV/atom.

abc: 8.898 8.898 8.898
angles: 154.19 154.19 36.82
Positions (direct):
Rb 0.250 0.750 0.500
Rb 0.750 0.250 0.500
Ta 0.067 0.067 0.000
Ta 0.933 0.933 0.000
Si 0.500 0.500 0.000

(8)
An optimized crystal structure of Zr2SbSe. Source: the Alexandria database, functional PBE.

As for the formation energy (no corrections): -3.2 eV per formula unit. The calculation puts the total energy at -6.974 eV/atom. For the magnetic moment, the calculation gives 0.0 μB per formula unit. For the energy relative to the lowest polymorph listed for this composition, the calculation gives 0.52 eV/f.u. The symmetry is P4/mmm. The calculation puts the density of states at the Fermi level at 0.562 states/eV/atom.

abc: 3.461 3.461 7.002
angles: 90.00 90.00 90.00
Positions (direct):
Zr 0.000 0.000 0.245
Zr 0.000 0.000 0.755
Sb 0.500 0.500 0.500
Se 0.500 0.500 0.000